DFT (GGA+U) results for crystalline MoI2O2 at its relaxed geometry.

Output
Final energy (eV per cell): -15.82
Size of the total moment (μB per formula unit): 3.81

abc: 4.911 4.911 4.088
angles: 90.00 90.00 90.00
Fractional positions:
Mo1 0.000 0.000 0.000
I1 0.000 0.500 0.500
I2 0.500 0.000 0.500
O1 0.500 0.500 0.000
O2 0.500 0.500 0.500